First-principles (PBE-GGA) data for a relaxed structure of NaCa2Au6, as listed in the Alexandria database.

Unit cell a=8.470 b=8.470 c=8.470 alpha=154.15 beta=126.84 gamma=60.03
Positions (direct):
Na: 0.000 0.000 0.000
Ca: 0.364 0.864 0.500
Ca: 0.636 0.136 0.500
Au: 0.012 0.320 0.692
Au: 0.309 0.500 0.809
Au: 0.371 0.680 0.692
Au: 0.629 0.320 0.308
Au: 0.691 0.500 0.191
Au: 0.988 0.680 0.308

Properties
**Theoretical density**: 10.1 g cm⁻³
**Size of the total moment**: 0.0 Bohr magnetons per cell
**Formation energy from the elements**: -0.500 eV/atom
**N(E_F)**: 0.2068 states/eV/atom
**DFT total energy**: -3.276 eV/atom
**Offset from the most stable computed form**: 36.5 meV/atom
**Space group**: Immm (71)

=====

First-principles (PBE-GGA) data for a relaxed structure of NaCaNdAu, as listed in the Alexandria database.

Unit cell a=7.578 b=7.578 c=7.578 alpha=90.00 beta=90.00 gamma=90.00
Positions (direct):
Na: 0.000 0.000 0.000
Na: 0.000 0.500 0.500
Na: 0.500 0.000 0.500
Na: 0.500 0.500 0.000
Ca: 0.250 0.250 0.750
Ca: 0.250 0.750 0.250
Ca: 0.750 0.250 0.250
Ca: 0.750 0.750 0.750
Nd: 0.250 0.250 0.250
Nd: 0.250 0.750 0.750
Nd: 0.750 0.250 0.750
Nd: 0.750 0.750 0.250
Au: 0.000 0.000 0.500
Au: 0.000 0.500 0.000
Au: 0.500 0.000 0.000
Au: 0.500 0.500 0.500

Properties
**Theoretical density**: 6.2 g cm⁻³
**Size of the total moment**: 0.0 Bohr magnetons per cell
**Formation energy from the elements**: -0.259 eV/atom
**N(E_F)**: 0.9129 states/eV/atom
**DFT total energy**: -3.101 eV/atom
**Space group**: F-43m (216)

=====

First-principles (PBE-GGA) data for a relaxed structure of NaCaAuO2, as listed in the Alexandria database.

Unit cell a=5.242 b=5.862 c=6.622 alpha=90.00 beta=95.39 gamma=90.00
Positions (direct):
Na: 0.000 0.123 0.250
Na: 0.000 0.877 0.750
Ca: 0.500 0.479 0.750
Ca: 0.500 0.521 0.250
Au: 0.500 0.000 0.000
Au: 0.500 0.000 0.500
O: 0.299 0.299 0.471
O: 0.299 0.701 0.971
O: 0.701 0.299 0.029
O: 0.701 0.701 0.529

Properties
**Theoretical density**: 4.8 g cm⁻³
**Size of the total moment**: 0.0 Bohr magnetons per cell
**Formation energy (no corrections)**: -1536 meV per atom
**N(E_F)**: 0.0000 states/eV/atom
**DFT total energy**: -4.839 eV/atom
**Space group**: P2/c (13)

=====

First-principles (PBE-GGA) data for a relaxed structure of NaCaPbAu, as listed in the Alexandria database.

Unit cell a=7.291 b=7.291 c=7.291 alpha=90.00 beta=90.00 gamma=90.00
Positions (direct):
Na: 0.000 0.000 0.000
Na: 0.000 0.500 0.500
Na: 0.500 0.000 0.500
Na: 0.500 0.500 0.000
Ca: 0.250 0.250 0.750
Ca: 0.250 0.750 0.250
Ca: 0.750 0.250 0.250
Ca: 0.750 0.750 0.750
Pb: 0.250 0.250 0.250
Pb: 0.250 0.750 0.750
Pb: 0.750 0.250 0.750
Pb: 0.750 0.750 0.250
Au: 0.000 0.000 0.500
Au: 0.000 0.500 0.000
Au: 0.500 0.000 0.000
Au: 0.500 0.500 0.500

Properties
**Theoretical density**: 8.0 g cm⁻³
**Size of the total moment**: 0.0 Bohr magnetons per cell
**Formation energy from the elements**: -0.410 eV/atom
**N(E_F)**: 0.2909 states/eV/atom
**DFT total energy**: -2.987 eV/atom
**Offset from the most stable computed form**: 0.0 meV/atom
**Space group**: F-43m (216)